# BaZr2Cd2

BaZr2Cd2 after structural relaxation (GGA-PBE, the Alexandria database).

Summary:
**Symmetry**: No. 127
**Energy relative to the lowest polymorph listed for this composition**: 0.000 eV/atom
**Energy of formation**: 0.095 eV per atom

Lattice parameters (Å, degrees): 9.057 9.057 3.228 90.00 90.00 90.00
Sites, in units of the cell vectors:
Ba 0.000 0.000 0.000
Ba 0.500 0.500 0.000
Zr 0.115 0.385 0.000
Zr 0.385 0.885 0.000
Zr 0.615 0.115 0.000
Zr 0.885 0.615 0.000
Cd 0.178 0.678 0.500
Cd 0.322 0.178 0.500
Cd 0.678 0.822 0.500
Cd 0.822 0.322 0.500

# BaZr2Cd2

BaZr2Cd2 after structural relaxation (GGA-PBE, the Alexandria database).

Summary:
**Symmetry**: No. 139
**Energy relative to the lowest polymorph listed for this composition**: 0.307 eV/atom
**Energy of formation**: 0.402 eV per atom

Lattice parameters (Å, degrees): 7.411 7.411 7.411 142.97 142.97 53.38
Sites, in units of the cell vectors:
Ba 0.000 0.000 0.000
Zr 0.390 0.390 0.000
Zr 0.610 0.610 0.000
Cd 0.250 0.750 0.500
Cd 0.750 0.250 0.500